# CuReTc2

CuReTc2 after structural relaxation (PBE, Alexandria).

Cell lengths 2.7380, 2.7380, 7.5515 Å; angles 90.00, 90.00, 90.00 degrees
Space group P4mm (No. 99)
Symmetry-distinct sites (fractional):
1 Cu 0.0000 0.0000 0.0000 (multiplicity 1)
2 Re 0.5000 0.5000 0.2460 (multiplicity 1)
3 Tc 0.0000 0.0000 0.5012 (multiplicity 1)
4 Tc 0.5000 0.5000 0.7519 (multiplicity 1)

## Properties
Formation enthalpy at 0 K, eV per formula unit: 0.84
N(E_F), states/eV/cell: 2.8
ΔE to the lowest computed polymorph, kJ/mol of formula units: 25

***

# KAlInCl2

KAlInCl2 after structural relaxation (PBE, Alexandria).

Cell lengths 5.1712, 5.1712, 6.8334 Å; angles 90.00, 90.00, 90.00 degrees
Space group P4/mmm (No. 123)
Symmetry-distinct sites (fractional):
1 K 0.0000 0.0000 0.0000 (multiplicity 1)
2 Al 0.0000 0.0000 0.5000 (multiplicity 1)
3 In 0.5000 0.5000 0.0000 (multiplicity 1)
4 Cl 0.0000 0.5000 0.5000 (multiplicity 2)

## Properties
Uncorrected formation energy, eV/atom: -0.300
N(E_F), states/eV/cell: 3.4

***

# TlHg2Au

TlHg2Au after structural relaxation (PBE, Alexandria).

Cell lengths 9.2602, 4.2263, 5.6561 Å; angles 90.00, 109.98, 90.00 degrees
Space group C2/m (No. 12)
Symmetry-distinct sites (fractional):
1 Tl 0.0000 0.0000 0.0000 (multiplicity 2)
2 Hg 0.2330 0.0000 0.7004 (multiplicity 4)
3 Au 0.0000 0.5000 0.5000 (multiplicity 2)

## Properties
Formation enthalpy at 0 K, eV per formula unit: 0.12
N(E_F), states/eV/cell: 2.8
ΔE to the lowest computed polymorph, kJ/mol of formula units: 20